No. 1
# TaGaCo2, relaxed, DFT PBE
# **VASP energy**: -28.899 eV per formula unit
# **Density**: 11.4 g/cm³
data_TaGaCo2
_cell_length_a 5.982
_cell_length_b 5.982
_cell_length_c 5.982
_cell_angle_alpha 90.00
_cell_angle_beta 90.00
_cell_angle_gamma 90.00
_space_group_name_H-M_alt 'F -4 3 m'
_space_group_IT_number 216
_space_group_name_Hall 'F -4 2 3'
loop_
_atom_site_label
_atom_site_type_symbol
_atom_site_fract_x
_atom_site_fract_y
_atom_site_fract_z
Ta1 Ta 0.000 0.000 0.000
Ga1 Ga 0.250 0.250 0.750
Co1 Co 0.000 0.000 0.500
Co2 Co 0.250 0.250 0.250

***

No. 2
# LuTlSn, relaxed, DFT PBE
# **VASP energy**: -10.877 eV per formula unit
# **Density**: 8.6 g/cm³
data_LuTlSn
_cell_length_a 7.268
_cell_length_b 7.268
_cell_length_c 7.268
_cell_angle_alpha 90.00
_cell_angle_beta 90.00
_cell_angle_gamma 90.00
_space_group_name_H-M_alt 'F -4 3 m'
_space_group_IT_number 216
_space_group_name_Hall 'F -4 2 3'
loop_
_atom_site_label
_atom_site_type_symbol
_atom_site_fract_x
_atom_site_fract_y
_atom_site_fract_z
Lu1 Lu 0.000 0.000 0.000
Tl1 Tl 0.000 0.000 0.500
Sn1 Sn 0.250 0.250 0.250

***

No. 3
# Sc2Tl3W4N3, relaxed, DFT PBE
# **VASP energy**: -98.458 eV per formula unit
# **Density**: 12.9 g/cm³
data_Sc2Tl3W4N3
_cell_length_a 9.799
_cell_length_b 5.712
_cell_length_c 13.961
_cell_angle_alpha 90.00
_cell_angle_beta 102.80
_cell_angle_gamma 90.00
_space_group_name_H-M_alt 'C 1 2/c 1'
_space_group_IT_number 15
_space_group_name_Hall '-C 2yc'
loop_
_atom_site_label
_atom_site_type_symbol
_atom_site_fract_x
_atom_site_fract_y
_atom_site_fract_z
Sc1 Sc 0.059 0.084 0.411
Tl1 Tl 0.000 0.436 0.250
Tl2 Tl 0.177 0.101 0.746
W1 W 0.108 0.434 0.570
W2 W 0.219 0.408 0.929
N1 N 0.077 0.233 0.000
N2 N 0.250 0.250 0.500

***

No. 4
# SrPmTe, relaxed, DFT PBE
# **VASP energy**: -11.380 eV per formula unit
# **Density**: 5.5 g/cm³
data_SrPmTe
_cell_length_a 7.559
_cell_length_b 7.559
_cell_length_c 7.559
_cell_angle_alpha 90.00
_cell_angle_beta 90.00
_cell_angle_gamma 90.00
_space_group_name_H-M_alt 'F -4 3 m'
_space_group_IT_number 216
_space_group_name_Hall 'F -4 2 3'
loop_
_atom_site_label
_atom_site_type_symbol
_atom_site_fract_x
_atom_site_fract_y
_atom_site_fract_z
Sr1 Sr 0.000 0.000 0.000
Pm1 Pm 0.000 0.000 0.500
Te1 Te 0.250 0.250 0.750

***

No. 5
# Nd2CuAg, relaxed, DFT PBE
# **Energy of formation from the pure elements**: -212 meV/atom
# **VASP energy**: -16.917 eV per formula unit
# **Density**: 7.5 g/cm³
data_Nd2CuAg
_cell_length_a 4.724
_cell_length_b 5.794
_cell_length_c 7.442
_cell_angle_alpha 90.00
_cell_angle_beta 90.00
_cell_angle_gamma 90.00
_space_group_name_H-M_alt 'P m c 21'
_space_group_IT_number 26
_space_group_name_Hall 'P 2c -2'
loop_
_atom_site_label
_atom_site_type_symbol
_atom_site_fract_x
_atom_site_fract_y
_atom_site_fract_z
Nd1 Nd 0.000 0.107 0.000
Nd2 Nd 0.500 0.373 0.358
Cu1 Cu 0.500 0.126 0.718
Ag1 Ag 0.000 0.388 0.649

***

No. 6
# Li2HfBi, relaxed, DFT PBE
# **VASP energy**: -17.428 eV per formula unit
# **Density**: 8.1 g/cm³
data_Li2HfBi
_cell_length_a 6.917
_cell_length_b 6.917
_cell_length_c 6.917
_cell_angle_alpha 90.00
_cell_angle_beta 90.00
_cell_angle_gamma 90.00
_space_group_name_H-M_alt 'F -4 3 m'
_space_group_IT_number 216
_space_group_name_Hall 'F -4 2 3'
loop_
_atom_site_label
_atom_site_type_symbol
_atom_site_fract_x
_atom_site_fract_y
_atom_site_fract_z
Li1 Li 0.000 0.000 0.000
Li2 Li 0.250 0.250 0.250
Hf1 Hf 0.250 0.250 0.750
Bi1 Bi 0.000 0.000 0.500

***

Copy entry 4 word for word.
# SrPmTe, relaxed, DFT PBE
# **VASP energy**: -11.380 eV per formula unit
# **Density**: 5.5 g/cm³
data_SrPmTe
_cell_length_a 7.559
_cell_length_b 7.559
_cell_length_c 7.559
_cell_angle_alpha 90.00
_cell_angle_beta 90.00
_cell_angle_gamma 90.00
_space_group_name_H-M_alt 'F -4 3 m'
_space_group_IT_number 216
_space_group_name_Hall 'F -4 2 3'
loop_
_atom_site_label
_atom_site_type_symbol
_atom_site_fract_x
_atom_site_fract_y
_atom_site_fract_z
Sr1 Sr 0.000 0.000 0.000
Pm1 Pm 0.000 0.000 0.500
Te1 Te 0.250 0.250 0.750

***

Which value of density does entry 2 give? 8.6 g/cm³